Crystalline CoWSe2 at its relaxed geometry. Source: the Alexandria database, functional PBE-GGA.

Structure (POSCAR):
```
CoWSe2
1.0
3.070 0.000 0.000
0.000 5.311 0.000
0.000 0.000 3.989
Co Se W
1 2 1
direct
0.000 0.500 0.500
0.000 0.000 0.000
0.500 0.500 0.000
0.500 0.000 0.500
```

Summary:
- space group = Pmmm
- raw total energy (eV for the cell shown) = -24.1
- ΔE_f (raw) (meV per atom) = 734
- offset from the most stable computed form (meV per atom) = 851.8